# 1
! KSmZnBr6 GGA-PBE optimized geometry; values from VASP
! E_form (uncorrected): -13.3 eV per formula unit
! final energy: -3.39 eV per atom
&SYSTEM
  ibrav = 0, nat = 18, ntyp = 4
/
ATOMIC_SPECIES
Br 79.90 Br.upf
Zn 65.41 Zn.upf
K 39.10 K.upf
Sm 150.36 Sm.upf
CELL_PARAMETERS angstrom
7.178 0.000 0.000
-3.589 6.216 0.000
0.000 0.000 14.609
ATOMIC_POSITIONS crystal
Br 0.022 0.381 0.641
Zn 0.333 0.667 0.750
Br 0.641 0.022 0.359
K 0.000 0.000 0.000
Br 0.381 0.359 0.359
Br 0.978 0.619 0.359
K 0.000 0.000 0.500
Sm 0.333 0.667 0.250
Br 0.978 0.359 0.141
Br 0.619 0.978 0.859
Br 0.022 0.641 0.859
Br 0.359 0.381 0.859
Br 0.359 0.978 0.641
Br 0.641 0.619 0.141
Br 0.381 0.022 0.141
Sm 0.667 0.333 0.750
Zn 0.667 0.333 0.250
Br 0.619 0.641 0.641



# 2
! Ba3ZnHg GGA-PBE optimized geometry; values from VASP
! energy relative to the elements: -0.18 eV/atom
! excess energy over the best structure of this formula in the dataset: 105 meV/atom
! final energy: -1.65 eV per atom
&SYSTEM
  ibrav = 0, nat = 20, ntyp = 3
/
ATOMIC_SPECIES
Ba 137.33 Ba.upf
Zn 65.41 Zn.upf
Hg 200.59 Hg.upf
CELL_PARAMETERS angstrom
8.589 -0.004 -0.003
-0.010 10.404 0.241
-0.010 2.349 10.138
ATOMIC_POSITIONS crystal
Ba 0.002 0.288 0.957
Ba 0.999 0.370 0.370
Zn 0.751 0.889 0.553
Ba 0.502 0.713 0.044
Zn 0.249 0.111 0.447
Ba 0.501 0.630 0.630
Zn 0.749 0.447 0.111
Ba 0.001 0.630 0.630
Zn 0.251 0.553 0.889
Hg 0.750 0.002 0.998
Ba 0.498 0.043 0.712
Ba 0.502 0.957 0.288
Ba 0.998 0.712 0.043
Hg 0.250 0.666 0.334
Ba 0.499 0.370 0.370
Ba 0.998 0.956 0.287
Hg 0.250 0.998 0.002
Hg 0.750 0.334 0.666
Ba 0.002 0.044 0.713
Ba 0.498 0.287 0.956



# 3
! TcOs2Cl GGA-PBE optimized geometry; values from VASP
! E_form (uncorrected): 4.2 eV per formula unit
! excess energy over the best structure of this formula in the dataset: 612 meV/atom
! final energy: -7.61 eV per atom
&SYSTEM
  ibrav = 0, nat = 4, ntyp = 3
/
ATOMIC_SPECIES
Cl 35.45 Cl.upf
Os 190.23 Os.upf
Tc 98.00 Tc.upf
CELL_PARAMETERS angstrom
2.799 0.000 0.000
0.000 4.583 0.000
0.000 0.000 4.636
ATOMIC_POSITIONS crystal
Cl 0.000 0.500 0.500
Os 0.500 0.500 0.000
Tc 0.500 0.000 0.500
Os 0.000 0.000 0.000



# 4
! Pm2Cd5Hg GGA-PBE optimized geometry; values from VASP
! energy relative to the elements: -0.25 eV/atom
! excess energy over the best structure of this formula in the dataset: 22 meV/atom
! final energy: -2.05 eV per atom
&SYSTEM
  ibrav = 0, nat = 16, ntyp = 3
/
ATOMIC_SPECIES
Cd 112.41 Cd.upf
Hg 200.59 Hg.upf
Pm 145.00 Pm.upf
CELL_PARAMETERS angstrom
-1.898 -3.888 -1.469
8.262 0.193 -4.082
3.987 -4.907 7.839
ATOMIC_POSITIONS crystal
Cd 0.199 0.397 0.603
Hg 0.458 0.916 0.750
Pm 0.812 0.623 0.750
Cd 0.387 0.773 0.250
Cd 0.199 0.397 0.897
Pm 0.000 0.000 0.500
Cd 0.801 0.603 0.397
Cd 0.360 0.721 0.530
Cd 0.640 0.279 0.030
Cd 0.613 0.227 0.750
Cd 0.360 0.721 0.970
Cd 0.640 0.279 0.470
Hg 0.542 0.084 0.250
Pm 0.188 0.377 0.250
Pm 0.000 0.000 0.000
Cd 0.801 0.603 0.103